Tl2GeW2 | GGA-PBE | optimized geometry

Cell and atoms, written as extended XYZ:
```
10
Lattice="8.701 0.000 0.000 0.000 8.701 0.000 0.000 0.000 2.868" Properties=species:S:1:pos:R:3 pbc="T T T"
Tl 2.702 7.052 0.000
Tl 7.052 5.999 0.000
Tl 5.999 1.649 0.000
Tl 1.649 2.702 0.000
Ge 0.000 0.000 0.000
Ge 4.350 4.350 0.000
W 0.891 5.241 1.434
W 5.241 7.810 1.434
W 7.810 3.460 1.434
W 3.460 0.891 1.434
```

The total magnetic moment comes out at 0.000 μB/atom. The total energy is -5.9674 eV per atom. The calculation puts the mass density at 13.0 g/cm³. Its offset from the most stable computed form is 130 meV per atom. The value obtained for the volume is 21.7 Å³/atom. For the formation enthalpy at 0 K, the calculation gives 105 kJ/mol of atoms.